This record from the Alexandria database describes a relaxed structure of TlCo2RuO8. The functional is PBE+U.

Computed properties:
Fermi-level density of states: 0.469 states/eV per atom
total energy: -69.107 eV/cell

Cell lengths 4.533, 4.535, 6.543 Å; angles 92.95, 92.96, 89.20 degrees
Element x y z (fractional)
Tl 0.000 0.000 0.500
Co 0.506 0.506 0.758
Co 0.494 0.494 0.242
Ru 0.000 0.000 0.000
O 0.213 0.798 0.217
O 0.705 0.704 0.988
O 0.797 0.213 0.217
O 0.787 0.202 0.783
O 0.295 0.296 0.012
O 0.203 0.787 0.783
O 0.672 0.671 0.490
O 0.328 0.329 0.510